# 1
This record from Alexandria describes a geometry-optimized Li3YCd structure. The functional is GGA-PBEsol.

Values from the calculation:
E_form = 213 meV per atom
Spin magnetization = 0.00 μB/f.u.

a b c (Å): 4.8568 4.8568 4.8568
angles (deg): 90.00 90.00 90.00
Closest atoms and distances in Å follow each position.
Fractional coordinates of all 5 atoms:
Li (0.0000, 0.0000, 0.5000)  2 Cd 2.43
Li (0.0000, 0.5000, 0.0000)  2 Cd 2.43
Li (0.5000, 0.0000, 0.0000)  2 Cd 2.43
Y (0.5000, 0.5000, 0.5000)  12 Li 3.43
Cd (0.0000, 0.0000, 0.0000)  6 Li 2.43

# 2
This record from Alexandria describes a geometry-optimized CoNi2Os structure. The functional is GGA-PBEsol.

Values from the calculation:
E_form = 168 meV per atom
Spin magnetization = 2.42 μB/f.u.

a b c (Å): 8.2388 8.2388 8.2388
angles (deg): 17.96 17.96 17.96
Closest atoms and distances in Å follow each position.
Fractional coordinates of all 4 atoms:
Co (0.0000, 0.0000, 0.0000)  6 Ni 2.46, 6 Co 2.57
Ni (0.2529, 0.2529, 0.2529)  3 Co 2.46, 3 Os 2.57, 6 Ni 2.57
Ni (0.7471, 0.7471, 0.7471)  3 Co 2.46, 3 Os 2.57, 6 Ni 2.57
Os (0.5000, 0.5000, 0.5000)  6 Ni 2.57, 6 Os 2.57

# 3
This record from Alexandria describes a geometry-optimized KZnIn structure. The functional is GGA-PBEsol.

Values from the calculation:
E_form = 369 meV per atom
Spin magnetization = 0.00 μB/f.u.

a b c (Å): 5.1477 5.1477 5.1477
angles (deg): 60.00 60.00 60.00
Closest atoms and distances in Å follow each position.
Fractional coordinates of all 3 atoms:
K (0.0000, 0.0000, 0.0000)  4 In 3.15
Zn (0.5000, 0.5000, 0.5000)  4 In 3.15
In (0.7500, 0.7500, 0.7500)  4 K 3.15, 4 Zn 3.15

# 4
This record from Alexandria describes a geometry-optimized P2SNCl structure. The functional is GGA-PBEsol.

Values from the calculation:
Formation energy without anion corrections = 2.3229 eV per atom
Distance to the lowest polymorph of the same formula = 1.195 eV/atom
Spin magnetization = 1.03 μB/f.u.

a b c (Å): 4.6364 4.6364 4.5594
angles (deg): 90.00 90.00 90.00
Closest atoms and distances in Å follow each position.
Fractional coordinates of all 5 atoms:
P (0.0000, 0.5000, 0.0000)  2 Cl 2.32
P (0.5000, 0.0000, 0.0000)  2 Cl 2.32
S (0.0000, 0.0000, 0.5000)  2 Cl 2.28
N (0.5000, 0.5000, 0.5000)  8 P 3.25, 4 S 3.28
Cl (0.0000, 0.0000, 0.0000)  2 S 2.28, 4 P 2.32

# 5
This record from Alexandria describes a geometry-optimized SrTa2Hg structure. The functional is GGA-PBEsol.

Values from the calculation:
E_form = 686 meV per atom
Spin magnetization = 0.00 μB/f.u.

a b c (Å): 3.0765 5.0954 5.4807
angles (deg): 90.00 90.00 90.00
Closest atoms and distances in Å follow each position.
Fractional coordinates of all 4 atoms:
Sr (0.0000, 0.0000, 0.0000)  4 Hg 2.98, 2 Sr 3.08, 4 Ta 3.14
Ta (0.0000, 0.5000, 0.5000)  6 Ta 2.98-3.08, 4 Hg 3.14
Ta (0.5000, 0.0000, 0.5000)  6 Ta 2.98-3.08, 4 Sr 3.14
Hg (0.5000, 0.5000, 0.0000)  4 Sr 2.98, 2 Hg 3.08, 4 Ta 3.14

# 6
This record from Alexandria describes a geometry-optimized CoPbAu3 structure. The functional is GGA-PBEsol.

Values from the calculation:
E_form = 1495 meV per atom
Spin magnetization = 2.41 μB/f.u.

a b c (Å): 5.1457 5.1457 5.1457
angles (deg): 90.00 90.00 90.00
Closest atoms and distances in Å follow each position.
Fractional coordinates of all 5 atoms:
Co (0.0000, 0.0000, 0.0000)  12 Au 3.64
Pb (0.5000, 0.5000, 0.5000)  6 Au 2.57
Au (0.0000, 0.5000, 0.5000)  2 Pb 2.57
Au (0.5000, 0.0000, 0.5000)  2 Pb 2.57
Au (0.5000, 0.5000, 0.0000)  2 Pb 2.57

# 7
This record from Alexandria describes a geometry-optimized Al3HgI structure. The functional is GGA-PBEsol.

Values from the calculation:
Formation energy without anion corrections = 1.1002 eV per atom
Spin magnetization = 0.00 μB/f.u.

a b c (Å): 5.7647 5.7647 5.7647
angles (deg): 90.00 90.00 90.00
Closest atoms and distances in Å follow each position.
Fractional coordinates of all 5 atoms:
Al (0.0000, 0.0000, 0.5000)  2 I 2.88
Al (0.0000, 0.5000, 0.0000)  2 I 2.88
Al (0.5000, 0.0000, 0.0000)  2 I 2.88
Hg (0.5000, 0.5000, 0.5000)  12 Al 4.08
I (0.0000, 0.0000, 0.0000)  6 Al 2.88

# 8
This record from Alexandria describes a geometry-optimized Fe2TcAs structure. The functional is GGA-PBEsol.

Values from the calculation:
E_form = 52 meV per atom
Spin magnetization = 3.39 μB/f.u.

a b c (Å): 2.9820 4.0367 4.0749
angles (deg): 90.00 90.00 90.00
Closest atoms and distances in Å follow each position.
Fractional coordinates of all 4 atoms:
Fe (0.0000, 0.0000, 0.0000)  4 Fe 2.51, 4 As 2.52
Fe (0.5000, 0.5000, 0.0000)  4 Fe 2.51, 4 Tc 2.52
Tc (0.0000, 0.5000, 0.5000)  4 As 2.51, 4 Fe 2.52
As (0.5000, 0.0000, 0.5000)  4 Tc 2.51, 4 Fe 2.52

# 9
This record from Alexandria describes a geometry-optimized CsCeS2 structure. The functional is GGA-PBEsol.

Values from the calculation:
Formation energy without anion corrections = -1.7263 eV per atom
Spin magnetization = 1.00 μB/f.u.

a b c (Å): 8.2967 8.2967 8.2967
angles (deg): 29.14 29.14 29.14
Closest atoms and distances in Å follow each position.
Fractional coordinates of all 4 atoms:
Cs (0.0000, 0.0000, 0.0000)  6 S 3.47
Ce (0.5000, 0.5000, 0.5000)  6 S 2.83
S (0.2287, 0.2287, 0.2287)  3 Ce 2.83
S (0.7713, 0.7713, 0.7713)  3 Ce 2.83

# 10
This record from Alexandria describes a geometry-optimized Mn3Si structure. The functional is GGA-PBEsol.

Values from the calculation:
Formation energy without anion corrections = -0.3257 eV per atom
Spin magnetization = 1.07 μB/f.u.

a b c (Å): 3.9337 3.9337 3.9337
angles (deg): 60.00 60.00 60.00
Closest atoms and distances in Å follow each position.
Fractional coordinates of all 4 atoms:
Mn (0.0000, 0.0000, 0.0000)  8 Mn 2.41
Mn (0.2500, 0.2500, 0.2500)  4 Mn 2.41, 4 Si 2.41
Mn (0.7500, 0.7500, 0.7500)  4 Mn 2.41, 4 Si 2.41
Si (0.5000, 0.5000, 0.5000)  8 Mn 2.41

# 11
This record from Alexandria describes a geometry-optimized NaLaGa2Os structure. The functional is GGA-PBEsol.

Values from the calculation:
E_form = 2154 meV per atom
Spin magnetization = 2.60 μB/f.u.

a b c (Å): 5.3271 5.3271 5.4029
angles (deg): 90.00 90.00 90.00
Closest atoms and distances in Å follow each position.
Fractional coordinates of all 5 atoms:
Na (0.0000, 0.0000, 0.0000)  2 La 2.70
La (0.0000, 0.0000, 0.5000)  4 Ga 2.66, 2 Na 2.70
Ga (0.0000, 0.5000, 0.5000)  2 La 2.66
Ga (0.5000, 0.0000, 0.5000)  2 La 2.66
Os (0.5000, 0.5000, 0.0000)  4 Na 3.77, 8 Ga 3.79

# 12
This record from Alexandria describes a geometry-optimized BaCaAu structure. The functional is GGA-PBEsol.

Values from the calculation:
E_form = -478 meV per atom
Spin magnetization = 0.00 μB/f.u.

a b c (Å): 7.3514 7.3514 7.3514
angles (deg): 149.92 149.92 43.06
Closest atoms and distances in Å follow each position.
Fractional coordinates of all 3 atoms:
Ba (0.0000, 0.0000, 0.0000)  4 Au 3.39, 1 Ca 3.54
Ca (0.7415, 0.7415, 0.0000)  4 Au 3.08
Au (0.3504, 0.3504, 0.0000)  4 Ca 3.08, 4 Ba 3.39